Entry 1:
Below is a PBEsol-optimized structure of BaSc2Si, with properties calculated at the meta-GGA SCAN level.

Output
E_form (uncorrected) (eV/atom): -0.087
Space-group type: No. 71

Cell lengths 3.3440, 5.7988, 11.0348 Å; angles 90.00, 90.00, 90.00 degrees
Fractional coordinates of all 8 atoms:
1 Ba 0.0000 0.0000 0.0000
2 Ba 0.5000 0.5000 0.5000
3 Sc 0.0000 0.5000 0.1918
4 Sc 0.0000 0.5000 0.8082
5 Sc 0.5000 0.0000 0.3082
6 Sc 0.5000 0.0000 0.6918
7 Si 0.0000 0.0000 0.5000
8 Si 0.5000 0.5000 0.0000

***

Entry 2:
Below is a PBEsol-optimized structure of MgZnIn, with properties calculated at the meta-GGA SCAN level.

Output
Calculated total energy (eV per formula unit): -52.083
Space-group type: No. 156

Cell lengths 4.6411, 4.6411, 3.2321 Å; angles 90.00, 90.00, 120.00 degrees
Fractional coordinates of all 3 atoms:
1 Mg 0.0000 0.0000 0.0000
2 Zn 0.3333 0.6667 0.4989
3 In 0.6667 0.3333 0.5005

***

Entry 3:
Below is a PBEsol-optimized structure of Ca2Mg, with properties calculated at the meta-GGA SCAN level.

Output
Calculated total energy (eV per formula unit): -24.303
Space-group type: No. 189

Cell lengths 9.6409, 9.6409, 3.8722 Å; angles 90.00, 90.00, 120.00 degrees
Fractional coordinates of all 9 atoms:
1 Ca 0.0000 0.2806 0.0000
2 Ca 0.0000 0.6188 0.5000
3 Ca 0.2806 0.0000 0.0000
4 Ca 0.3812 0.3812 0.5000
5 Ca 0.6188 0.0000 0.5000
6 Ca 0.7194 0.7194 0.0000
7 Mg 0.0000 0.0000 0.5000
8 Mg 0.3333 0.6667 0.0000
9 Mg 0.6667 0.3333 0.0000

***

Entry 4:
Below is a PBEsol-optimized structure of TcTeSe2, with properties calculated at the meta-GGA SCAN level.

Output
E_form (uncorrected) (eV/atom): 0.169
Space-group type: No. 44

Cell lengths 3.0940, 4.4330, 12.1598 Å; angles 90.00, 90.00, 90.00 degrees
Fractional coordinates of all 8 atoms:
1 Tc 0.0000 0.0000 0.0000
2 Tc 0.5000 0.5000 0.5000
3 Te 0.0000 0.5000 0.6940
4 Te 0.5000 0.0000 0.1940
5 Se 0.0000 0.0000 0.5339
6 Se 0.0000 0.5000 0.3434
7 Se 0.5000 0.0000 0.8434
8 Se 0.5000 0.5000 0.0339

***

Entry 5:
Below is a PBEsol-optimized structure of BaScCo2, with properties calculated at the meta-GGA SCAN level.

Output
Calculated total energy (eV per formula unit): -86.400
Space-group type: No. 123

Cell lengths 4.7760, 4.7760, 3.3156 Å; angles 90.00, 90.00, 90.00 degrees
Fractional coordinates of all 4 atoms:
1 Ba 0.0000 0.0000 0.0000
2 Sc 0.5000 0.5000 0.0000
3 Co 0.0000 0.5000 0.5000
4 Co 0.5000 0.0000 0.5000

***

Entry 6:
Below is a PBEsol-optimized structure of SmDyZn2, with properties calculated at the meta-GGA SCAN level.

Output
Calculated total energy (eV per formula unit): -120.860
Space-group type: No. 225

Cell lengths 7.0639, 7.0639, 7.0639 Å; angles 90.00, 90.00, 90.00 degrees
Fractional coordinates of all 16 atoms:
1 Sm 0.0000 0.0000 0.0000
2 Sm 0.0000 0.5000 0.5000
3 Sm 0.5000 0.0000 0.5000
4 Sm 0.5000 0.5000 0.0000
5 Dy 0.0000 0.0000 0.5000
6 Dy 0.0000 0.5000 0.0000
7 Dy 0.5000 0.0000 0.0000
8 Dy 0.5000 0.5000 0.5000
9 Zn 0.2500 0.2500 0.2500
10 Zn 0.2500 0.2500 0.7500
11 Zn 0.2500 0.7500 0.2500
12 Zn 0.2500 0.7500 0.7500
13 Zn 0.7500 0.2500 0.2500
14 Zn 0.7500 0.2500 0.7500
15 Zn 0.7500 0.7500 0.2500
16 Zn 0.7500 0.7500 0.7500

***

| no. | volume (Å³ per atom) | magnetization (Bohr magnetons per cell) |
| --- | --- | --- |
| 1 | 26.75 | 0.00 |
| 2 | 20.10 | 0.00 |
| 3 | 34.63 | 0.00 |
| 4 | 20.85 | 0.00 |
| 5 | 18.91 | 2.11 |
| 6 | 22.03 | 0.00 |